# 1
Entry from the Alexandria database: crystalline SrCa2TlPt at its relaxed geometry (PBE-GGA).

Unit cell a=5.604 b=5.604 c=5.408 alpha=90.00 beta=90.00 gamma=90.00
Atoms (fractional coordinates):
Sr 0.000 0.000 0.000
Ca 0.000 0.500 0.500
Ca 0.500 0.000 0.500
Tl 0.500 0.500 0.000
Pt 0.500 0.500 0.500

Values from the calculation:
The total energy comes out at -3.2056 eV per atom. The calculation puts the relative energy among the computed polymorphs at 108 meV/atom. Its space group is P4/mmm. Its formation energy is -1.94 eV/f.u.

***

# 2
Entry from the Alexandria database: crystalline Sr2CaTlPt at its relaxed geometry (PBE-GGA).

Unit cell a=5.867 b=5.867 c=5.570 alpha=90.00 beta=90.00 gamma=90.00
Atoms (fractional coordinates):
Sr 0.000 0.500 0.000
Sr 0.500 0.000 0.000
Ca 0.000 0.000 0.500
Tl 0.500 0.500 0.500
Pt 0.000 0.000 0.000

Values from the calculation:
The total energy comes out at -3.2381 eV per atom. Its space group is P4/mmm. Its formation energy is -2.42 eV/f.u.

***

# 3
Entry from the Alexandria database: crystalline Sr2CaPtW at its relaxed geometry (PBE-GGA).

Unit cell a=5.795 b=5.795 c=5.480 alpha=90.00 beta=90.00 gamma=90.00
Atoms (fractional coordinates):
Sr 0.000 0.500 0.000
Sr 0.500 0.000 0.000
Ca 0.000 0.000 0.500
Pt 0.000 0.000 0.000
W 0.500 0.500 0.500

Values from the calculation:
The total energy comes out at -4.2246 eV per atom. Its space group is P4/mmm. Its formation energy is 3.24 eV/f.u.

***

# 4
Entry from the Alexandria database: crystalline SrCa2YPt at its relaxed geometry (PBE-GGA).

Unit cell a=5.747 b=5.747 c=5.516 alpha=90.00 beta=90.00 gamma=90.00
Atoms (fractional coordinates):
Sr 0.000 0.000 0.000
Ca 0.000 0.500 0.500
Ca 0.500 0.000 0.500
Y 0.500 0.500 0.000
Pt 0.500 0.500 0.500

Values from the calculation:
The total energy comes out at -4.0920 eV per atom. Its space group is P4/mmm. Its formation energy is -2.27 eV/f.u.

***

# 5
Entry from the Alexandria database: crystalline Sr2CaYPt at its relaxed geometry (PBE-GGA).

Unit cell a=6.006 b=6.006 c=5.518 alpha=90.00 beta=90.00 gamma=90.00
Atoms (fractional coordinates):
Sr 0.000 0.500 0.000
Sr 0.500 0.000 0.000
Ca 0.000 0.000 0.500
Y 0.500 0.500 0.500
Pt 0.500 0.500 0.000

Values from the calculation:
The total energy comes out at -3.9534 eV per atom. Its space group is P4/mmm. Its formation energy is -1.90 eV/f.u.

***

# 6
Entry from the Alexandria database: crystalline SrCa2ZnPt at its relaxed geometry (PBE-GGA).

Unit cell a=5.608 b=5.608 c=5.060 alpha=90.00 beta=90.00 gamma=90.00
Atoms (fractional coordinates):
Sr 0.000 0.000 0.000
Ca 0.000 0.500 0.500
Ca 0.500 0.000 0.500
Zn 0.500 0.500 0.000
Pt 0.500 0.500 0.500

Values from the calculation:
The total energy comes out at -2.9622 eV per atom. Its space group is P4/mmm. Its formation energy is -1.81 eV/f.u.

***

# 7
Entry from the Alexandria database: crystalline Sr2CaZn3Pt4 at its relaxed geometry (PBE-GGA).

Unit cell a=4.341 b=4.341 c=11.405 alpha=90.00 beta=90.00 gamma=90.00
Atoms (fractional coordinates):
Sr 0.000 0.500 0.227
Sr 0.500 0.000 0.773
Ca 0.000 0.000 0.500
Zn 0.000 0.500 0.879
Zn 0.500 0.000 0.121
Zn 0.500 0.500 0.500
Pt 0.000 0.000 0.000
Pt 0.000 0.500 0.656
Pt 0.500 0.000 0.344
Pt 0.500 0.500 0.000

Values from the calculation:
The total energy comes out at -4.0425 eV per atom. Its space group is P-4m2. Its formation energy is -7.07 eV/f.u.

***

# 8
Entry from the Alexandria database: crystalline Ca2TaPt at its relaxed geometry (PBE-GGA).

Unit cell a=4.154 b=4.154 c=4.965 alpha=90.00 beta=90.00 gamma=90.00
Atoms (fractional coordinates):
Ca 0.000 0.500 0.000
Ca 0.500 0.000 0.000
Ta 0.000 0.000 0.500
Pt 0.500 0.500 0.500

Values from the calculation:
The total energy comes out at -5.2563 eV per atom. The calculation puts the relative energy among the computed polymorphs at 360 meV/atom. Its space group is P4/mmm. Its formation energy is 0.87 eV/f.u.

***

# 9
Entry from the Alexandria database: crystalline CaTa2Pt at its relaxed geometry (PBE-GGA).

Unit cell a=2.897 b=5.192 c=5.187 alpha=90.00 beta=98.78 gamma=90.00
Atoms (fractional coordinates):
Ca 0.000 0.000 0.000
Ta 0.281 0.500 0.738
Ta 0.719 0.500 0.262
Pt 0.500 0.000 0.500

Values from the calculation:
The total energy comes out at -7.7930 eV per atom. The calculation puts the relative energy among the computed polymorphs at 239 meV/atom. Its space group is P2/m. Its formation energy is 0.58 eV/f.u.

***

# 10
Entry from the Alexandria database: crystalline Ca3TaPt at its relaxed geometry (PBE-GGA).

Unit cell a=5.376 b=5.376 c=5.376 alpha=90.00 beta=90.00 gamma=90.00
Atoms (fractional coordinates):
Ca 0.000 0.000 0.500
Ca 0.000 0.500 0.000
Ca 0.500 0.000 0.000
Ta 0.000 0.000 0.000
Pt 0.500 0.500 0.500

Values from the calculation:
The total energy comes out at -3.5193 eV per atom. The calculation puts the relative energy among the computed polymorphs at 799 meV/atom. Its space group is Pm-3m. Its formation energy is 6.30 eV/f.u.

***

# 11
Entry from the Alexandria database: crystalline CaTa2Pt at its relaxed geometry (PBE-GGA).

Unit cell a=5.678 b=5.678 c=5.678 alpha=139.11 beta=139.11 gamma=59.20
Atoms (fractional coordinates):
Ca 0.000 0.000 0.000
Ta 0.250 0.750 0.500
Ta 0.750 0.250 0.500
Pt 0.500 0.500 0.000

Values from the calculation:
The total energy comes out at -7.7918 eV per atom. The calculation puts the relative energy among the computed polymorphs at 241 meV/atom. Its space group is I4/mmm. Its formation energy is 0.58 eV/f.u.

***

# 12
Entry from the Alexandria database: crystalline CaTa2Pt at its relaxed geometry (PBE-GGA).

Unit cell a=4.873 b=4.873 c=3.144 alpha=90.00 beta=90.00 gamma=90.00
Atoms (fractional coordinates):
Ca 0.000 0.000 0.000
Ta 0.000 0.500 0.500
Ta 0.500 0.000 0.500
Pt 0.500 0.500 0.000

Values from the calculation:
The total energy comes out at -7.4214 eV per atom. The calculation puts the relative energy among the computed polymorphs at 611 meV/atom. Its space group is P4/mmm. Its formation energy is 2.06 eV/f.u.

***

# 13
Entry from the Alexandria database: crystalline CaTaPt2 at its relaxed geometry (PBE-GGA).

Unit cell a=5.416 b=5.416 c=5.006 alpha=100.31 beta=100.31 gamma=30.57
Atoms (fractional coordinates):
Ca 0.000 0.000 0.000
Ta 0.212 0.212 0.614
Pt 0.474 0.474 0.495
Pt 0.750 0.750 0.127

Values from the calculation:
The total energy comes out at -6.9971 eV per atom. The calculation puts the relative energy among the computed polymorphs at 155 meV/atom. Its space group is Cm. Its formation energy is -2.05 eV/f.u.

***

# 14
Entry from the Alexandria database: crystalline CaTaPt2 at its relaxed geometry (PBE-GGA).

Unit cell a=3.502 b=3.502 c=6.693 alpha=90.00 beta=90.00 gamma=90.00
Atoms (fractional coordinates):
Ca 0.000 0.000 0.000
Ta 0.500 0.500 0.635
Pt 0.000 0.000 0.488
Pt 0.500 0.500 0.247

Values from the calculation:
The total energy comes out at -6.7728 eV per atom. The calculation puts the relative energy among the computed polymorphs at 380 meV/atom. Its space group is P4mm. Its formation energy is -1.16 eV/f.u.

***

# 15
Entry from the Alexandria database: crystalline Ca2TaPt at its relaxed geometry (PBE-GGA).

Unit cell a=3.418 b=3.418 c=9.050 alpha=90.00 beta=90.14 gamma=90.00
Atoms (fractional coordinates):
Ca 0.000 0.000 0.000
Ca 0.496 0.500 0.371
Ta 0.998 0.000 0.634
Pt 0.499 0.500 0.757

Values from the calculation:
The total energy comes out at -5.6165 eV per atom. The calculation puts the relative energy among the computed polymorphs at 0 meV/atom. Its space group is Pm. Its formation energy is -0.57 eV/f.u.

***

# 16
Entry from the Alexandria database: crystalline Ca2TaPt at its relaxed geometry (PBE-GGA).

Unit cell a=6.266 b=6.266 c=6.266 alpha=147.41 beta=130.34 gamma=60.67
Atoms (fractional coordinates):
Ca 0.000 0.000 0.000
Ca 0.706 0.206 0.500
Ta 0.408 0.408 0.000
Pt 0.240 0.740 0.500

Values from the calculation:
The total energy comes out at -5.4977 eV per atom. The calculation puts the relative energy among the computed polymorphs at 119 meV/atom. Its space group is Imm2. Its formation energy is -0.09 eV/f.u.

***

# 17
Entry from the Alexandria database: crystalline Ca3TaPt at its relaxed geometry (PBE-GGA).

Unit cell a=5.455 b=5.455 c=5.455 alpha=90.00 beta=90.00 gamma=90.00
Atoms (fractional coordinates):
Ca 0.000 0.000 0.500
Ca 0.000 0.500 0.000
Ca 0.500 0.000 0.000
Ta 0.500 0.500 0.500
Pt 0.000 0.000 0.000

Values from the calculation:
The total energy comes out at -4.3182 eV per atom. The calculation puts the relative energy among the computed polymorphs at 0 meV/atom. Its space group is Pm-3m. Its formation energy is 2.31 eV/f.u.

***

# 18
Entry from the Alexandria database: crystalline CaTaPt2 at its relaxed geometry (PBE-GGA).

Unit cell a=6.117 b=6.117 c=6.117 alpha=152.56 beta=133.86 gamma=54.52
Atoms (fractional coordinates):
Ca 0.000 0.000 0.000
Ta 0.706 0.206 0.500
Pt 0.264 0.764 0.500
Pt 0.493 0.493 0.000

Values from the calculation:
The total energy comes out at -6.9256 eV per atom. The calculation puts the relative energy among the computed polymorphs at 227 meV/atom. Its space group is Imm2. Its formation energy is -1.77 eV/f.u.

***

# 19
Entry from the Alexandria database: crystalline CaTa2Pt at its relaxed geometry (PBE-GGA).

Unit cell a=4.756 b=4.756 c=4.756 alpha=60.00 beta=60.00 gamma=60.00
Atoms (fractional coordinates):
Ca 0.000 0.000 0.000
Ta 0.500 0.500 0.500
Ta 0.750 0.750 0.750
Pt 0.250 0.250 0.250

Values from the calculation:
The total energy comes out at -7.7025 eV per atom. The calculation puts the relative energy among the computed polymorphs at 330 meV/atom. Its space group is F-43m. Its formation energy is 0.94 eV/f.u.

***

# 20
Entry from the Alexandria database: crystalline Ca2TaPt at its relaxed geometry (PBE-GGA).

Unit cell a=4.946 b=4.946 c=4.946 alpha=60.00 beta=60.00 gamma=60.00
Atoms (fractional coordinates):
Ca 0.000 0.000 0.000
Ca 0.250 0.250 0.250
Ta 0.750 0.750 0.750
Pt 0.500 0.500 0.500

Values from the calculation:
The total energy comes out at -5.2071 eV per atom. The calculation puts the relative energy among the computed polymorphs at 409 meV/atom. Its space group is F-43m. Its formation energy is 1.07 eV/f.u.

***

# 21
Entry from the Alexandria database: crystalline Ca2TaPt at its relaxed geometry (PBE-GGA).

Unit cell a=5.708 b=5.708 c=3.037 alpha=90.00 beta=90.00 gamma=118.31
Atoms (fractional coordinates):
Ca 0.000 0.500 0.000
Ca 0.500 0.000 0.000
Ta 0.000 0.000 0.500
Pt 0.500 0.500 0.500

Values from the calculation:
The total energy comes out at -5.2100 eV per atom. The calculation puts the relative energy among the computed polymorphs at 407 meV/atom. Its space group is Cmmm. Its formation energy is 1.06 eV/f.u.

***

# 22
Entry from the Alexandria database: crystalline CaTa2Pt at its relaxed geometry (PBE-GGA).

Unit cell a=5.905 b=5.905 c=5.905 alpha=148.11 beta=133.71 gamma=57.32
Atoms (fractional coordinates):
Ca 0.000 0.000 0.000
Ta 0.270 0.770 0.500
Ta 0.730 0.230 0.500
Pt 0.500 0.500 0.000

Values from the calculation:
The total energy comes out at -7.9728 eV per atom. The calculation puts the relative energy among the computed polymorphs at 59 meV/atom. Its space group is Immm. Its formation energy is -0.14 eV/f.u.

***

# 23
Entry from the Alexandria database: crystalline CaTaPt2 at its relaxed geometry (PBE-GGA).

Unit cell a=6.144 b=6.144 c=6.144 alpha=104.56 beta=104.56 gamma=119.81
Atoms (fractional coordinates):
Ca 0.000 0.000 0.000
Ca 0.750 0.250 0.500
Ta 0.250 0.750 0.500
Ta 0.500 0.500 0.000
Pt 0.175 0.125 0.550
Pt 0.375 0.825 0.950
Pt 0.575 0.625 0.450
Pt 0.875 0.425 0.050

Values from the calculation:
The total energy comes out at -6.6535 eV per atom. The calculation puts the relative energy among the computed polymorphs at 499 meV/atom. Its space group is I-42d. Its formation energy is -0.68 eV/f.u.

***

# 24
Entry from the Alexandria database: crystalline CaTa2Pt at its relaxed geometry (PBE-GGA).

Unit cell a=2.997 b=3.032 c=8.870 alpha=90.00 beta=92.44 gamma=90.00
Atoms (fractional coordinates):
Ca 0.000 0.000 0.000
Ta 0.052 0.000 0.450
Ta 0.478 0.500 0.684
Pt 0.530 0.500 0.249

Values from the calculation:
The total energy comes out at -8.0323 eV per atom. The calculation puts the relative energy among the computed polymorphs at 0 meV/atom. Its space group is Pm. Its formation energy is -0.38 eV/f.u.

***

# 25
Entry from the Alexandria database: crystalline Ca2TaPt at its relaxed geometry (PBE-GGA).

Unit cell a=7.597 b=7.597 c=7.597 alpha=96.30 beta=96.30 gamma=141.32
Atoms (fractional coordinates):
Ca 0.375 0.011 0.136
Ca 0.761 0.625 0.636
Ca 0.875 0.239 0.864
Ca 0.989 0.125 0.364
Ta 0.250 0.750 0.500
Ta 0.500 0.500 0.000
Pt 0.000 0.000 0.000
Pt 0.750 0.250 0.500

Values from the calculation:
The total energy comes out at -5.1297 eV per atom. The calculation puts the relative energy among the computed polymorphs at 487 meV/atom. Its space group is I-42d. Its formation energy is 1.38 eV/f.u.

***

# 26
Entry from the Alexandria database: crystalline CaTaPt2 at its relaxed geometry (PBE-GGA).

Unit cell a=2.980 b=2.980 c=8.698 alpha=90.00 beta=90.00 gamma=90.00
Atoms (fractional coordinates):
Ca 0.000 0.000 0.000
Ta 0.500 0.500 0.665
Pt 0.000 0.000 0.465
Pt 0.500 0.500 0.233

Values from the calculation:
The total energy comes out at -6.6346 eV per atom. The calculation puts the relative energy among the computed polymorphs at 518 meV/atom. Its space group is P4mm. Its formation energy is -0.60 eV/f.u.

***

# 27
Entry from the Alexandria database: crystalline CaTa2Pt at its relaxed geometry (PBE-GGA).

Unit cell a=4.696 b=4.696 c=4.696 alpha=60.00 beta=60.00 gamma=60.00
Atoms (fractional coordinates):
Ca 0.000 0.000 0.000
Ta 0.250 0.250 0.250
Ta 0.750 0.750 0.750
Pt 0.500 0.500 0.500

Values from the calculation:
The total energy comes out at -7.5158 eV per atom. The calculation puts the relative energy among the computed polymorphs at 516 meV/atom. Its space group is Fm-3m. Its formation energy is 1.68 eV/f.u.

***

# 28
Entry from the Alexandria database: crystalline CaTa2Pt at its relaxed geometry (PBE-GGA).

Unit cell a=5.462 b=5.462 c=5.896 alpha=114.29 beta=114.29 gamma=30.52
Atoms (fractional coordinates):
Ca 0.000 0.000 0.000
Ta 0.189 0.189 0.604
Ta 0.430 0.430 0.457
Pt 0.743 0.743 0.039

Values from the calculation:
The total energy comes out at -7.9245 eV per atom. The calculation puts the relative energy among the computed polymorphs at 108 meV/atom. Its space group is Cm. Its formation energy is 0.05 eV/f.u.

***

# 29
Entry from the Alexandria database: crystalline CaTaPt2 at its relaxed geometry (PBE-GGA).

Unit cell a=5.319 b=5.319 c=5.319 alpha=135.69 beta=135.69 gamma=64.45
Atoms (fractional coordinates):
Ca 0.000 0.000 0.000
Ta 0.750 0.250 0.500
Pt 0.250 0.750 0.500
Pt 0.500 0.500 0.000

Values from the calculation:
The total energy comes out at -6.8038 eV per atom. The calculation puts the relative energy among the computed polymorphs at 349 meV/atom. Its space group is I-4m2. Its formation energy is -1.28 eV/f.u.